*i*
{"formula": "SbPt3O", "functional": "GGA-PBE", "state": "relaxed", "rho_g_cm3": 9.72, "crystal_system": "cubic", "total_magnetization_mub_per_cell": 1.66, "lattice": [[-2.680, -1.682, -3.846], [-0.020, -4.558, 2.007], [-4.197, 1.096, 2.446]], "species": ["O", "Sb", "Pt", "Pt", "Pt"], "fractional_positions": [[0.500, 0.500, 0.500], [0.000, 0.000, 0.000], [0.000, 0.000, 0.500], [0.500, 0.000, 0.000], [0.000, 0.500, 0.000]]}

=====

*ii*
{"formula": "SbPt3O", "functional": "GGA-PBE", "state": "relaxed", "rho_g_cm3": 14.30, "crystal_system": "cubic", "total_magnetization_mub_per_cell": 0.00, "lattice": [[-2.824, 2.170, 2.547], [-3.075, -2.998, -0.854], [1.321, -2.340, 3.458]], "species": ["O", "Pt", "Pt", "Pt", "Sb"], "fractional_positions": [[0.000, 0.000, 0.000], [0.000, 0.500, 0.000], [0.500, 0.000, 0.000], [0.000, 0.000, 0.500], [0.500, 0.500, 0.500]]}

=====

The structure with the most favorable energy is *ii*; the runner-up is 1035 meV/atom above it.

=====

*i*
{"formula": "Sb2TePtO", "functional": "GGA-PBE", "state": "relaxed", "rho_g_cm3": 6.52, "crystal_system": "tetragonal", "total_magnetization_mub_per_cell": 2.28, "lattice": [[-2.771, -2.994, 3.219], [0.145, -3.865, -3.470], [4.642, -1.860, 2.266]], "species": ["Sb", "Sb", "O", "Pt", "Te"], "fractional_positions": [[0.000, 0.500, 0.000], [0.500, 0.000, 0.000], [0.500, 0.500, 0.500], [0.000, 0.000, 0.000], [0.000, 0.000, 0.500]]}

=====

*ii*
{"formula": "Sb2TePtO", "functional": "GGA-PBE", "state": "relaxed", "rho_g_cm3": 9.18, "crystal_system": "tetragonal", "total_magnetization_mub_per_cell": 0.00, "lattice": [[-1.942, 3.035, 3.005], [-0.967, -3.528, 2.938], [4.240, 0.608, 2.126]], "species": ["Te", "Sb", "Sb", "O", "Pt"], "fractional_positions": [[0.000, 0.000, 0.500], [0.500, 0.000, 0.000], [0.000, 0.500, 0.000], [0.000, 0.000, 0.000], [0.500, 0.500, 0.500]]}

=====

The structure with the most favorable energy is *ii*; the runner-up is 575 meV/atom above it.

=====

*i*
{"formula": "SbTe2PtO", "functional": "GGA-PBE", "state": "relaxed", "rho_g_cm3": 6.66, "crystal_system": "tetragonal", "total_magnetization_mub_per_cell": 0.00, "lattice": [[-3.106, 3.525, 2.420], [1.440, -1.954, 4.695], [3.997, 3.394, 0.187]], "species": ["Pt", "Te", "Te", "O", "Sb"], "fractional_positions": [[0.000, 0.000, 0.000], [0.000, 0.500, 0.000], [0.500, 0.000, 0.000], [0.500, 0.500, 0.500], [0.000, 0.000, 0.500]]}

=====

*ii*
{"formula": "SbTe2PtO", "functional": "GGA-PBE", "state": "relaxed", "rho_g_cm3": 9.15, "crystal_system": "tetragonal", "total_magnetization_mub_per_cell": 0.00, "lattice": [[4.756, 0.000, 0.000], [0.000, 4.756, 0.000], [0.000, 0.000, 4.716]], "species": ["O", "Te", "Te", "Pt", "Sb"], "fractional_positions": [[0.000, 0.000, 0.000], [0.500, 0.000, 0.000], [0.000, 0.500, 0.000], [0.500, 0.500, 0.500], [0.000, 0.000, 0.500]]}

=====

The structure with the most favorable energy is *ii*; the runner-up is 538 meV/atom above it.

=====

*i*
{"formula": "Sc4Pt2O", "functional": "GGA-PBE", "state": "relaxed", "rho_g_cm3": 7.69, "crystal_system": "tetragonal", "total_magnetization_mub_per_cell": 0.00, "lattice": [[-0.513, -4.003, -1.406], [2.283, 0.934, -3.491], [6.684, -3.432, 0.836]], "species": ["O", "Sc", "Sc", "Sc", "Sc", "Pt", "Pt"], "fractional_positions": [[0.000, 0.000, 0.000], [0.179, 0.179, 0.641], [0.000, 0.500, 0.000], [0.821, 0.821, 0.359], [0.500, 0.000, 0.000], [0.368, 0.368, 0.265], [0.632, 0.632, 0.735]]}

=====

*ii*
{"formula": "Sc4Pt2O", "functional": "GGA-PBE", "state": "relaxed", "rho_g_cm3": 7.32, "crystal_system": "monoclinic", "total_magnetization_mub_per_cell": 0.00, "lattice": [[5.927, 0.000, 0.016], [0.000, 6.247, 0.000], [-2.172, 0.000, 7.174]], "species": ["Sc", "Sc", "Sc", "Sc", "Sc", "Sc", "Sc", "Sc", "O", "O", "Pt", "Pt", "Pt", "Pt"], "fractional_positions": [[0.940, 0.250, 0.634], [0.892, 0.250, 0.073], [0.481, 0.495, 0.724], [0.060, 0.750, 0.366], [0.108, 0.750, 0.927], [0.519, 0.505, 0.276], [0.481, 0.005, 0.724], [0.519, 0.995, 0.276], [0.716, 0.250, 0.796], [0.284, 0.750, 0.204], [0.294, 0.250, 0.972], [0.227, 0.250, 0.414], [0.773, 0.750, 0.586], [0.706, 0.750, 0.028]]}

=====

The structure with the most favorable energy is *i*; the runner-up is 30 meV/atom above it.